No. 1
# YZr2Sb, optimized geometry, DFT PBE
data_YZr2Sb
_chemical_formula_sum 'Y1 Zr2 Sb1'
_symmetry_space_group_name_H-M 'P 4/m m m'
_symmetry_Int_Tables_number 123
_symmetry_space_group_name_Hall '-P 4 2'
_cell_length_a 3.7765
_cell_length_b 3.7765
_cell_length_c 6.8834
_cell_angle_alpha 90.00
_cell_angle_beta 90.00
_cell_angle_gamma 90.00
loop_
_atom_site_label
_atom_site_fract_x
_atom_site_fract_y
_atom_site_fract_z
Y1 0.0000 0.0000 0.0000
Zr1 0.5000 0.5000 0.2861
Sb1 0.0000 0.0000 0.5000
# * total magnetic moment: 0.000 Bohr magnetons per cell
# * energy relative to the elements, uncorrected: -33.0 kJ per mole of atoms

=====

No. 2
# Y2ZrSb, optimized geometry, DFT PBE
data_Y2ZrSb
_chemical_formula_sum 'Y2 Zr1 Sb1'
_symmetry_space_group_name_H-M 'P 4/m m m'
_symmetry_Int_Tables_number 123
_symmetry_space_group_name_Hall '-P 4 2'
_cell_length_a 3.9731
_cell_length_b 3.9731
_cell_length_c 6.8002
_cell_angle_alpha 90.00
_cell_angle_beta 90.00
_cell_angle_gamma 90.00
loop_
_atom_site_label
_atom_site_fract_x
_atom_site_fract_y
_atom_site_fract_z
Y1 0.0000 0.0000 0.2402
Zr1 0.5000 0.5000 0.5000
Sb1 0.5000 0.5000 0.0000
# * total magnetic moment: 1.470 Bohr magnetons per cell
# * energy relative to the elements, uncorrected: -39.9 kJ per mole of atoms

=====

No. 3
# YZrSb, optimized geometry, DFT PBE
data_YZrSb
_chemical_formula_sum 'Y8 Zr8 Sb8'
_symmetry_space_group_name_H-M 'C 1 2/m 1'
_symmetry_Int_Tables_number 12
_cell_length_a 18.6764
_cell_length_b 4.1638
_cell_length_c 9.0927
_cell_angle_alpha 90.00
_cell_angle_beta 93.15
_cell_angle_gamma 90.00
loop_
_symmetry_equiv_pos_as_xyz
'x,y,z'
'-x,-y,-z'
'-x,y,-z'
'x,-y,z'
'x+1/2,y+1/2,z'
'-x+1/2,-y+1/2,-z'
'-x+1/2,y+1/2,-z'
'x+1/2,-y+1/2,z'
loop_
_atom_site_label
_atom_site_fract_x
_atom_site_fract_y
_atom_site_fract_z
Y1 0.0408 0.0000 0.3357
Y2 0.0968 0.5000 0.8631
Zr1 0.2470 0.0000 0.3778
Zr2 0.2469 0.0000 0.8693
Sb1 0.1349 0.0000 0.6186
Sb2 0.1420 0.0000 0.1037
# * total magnetic moment: 0.536 Bohr magnetons per cell
# * energy relative to the elements, uncorrected: -39.4 kJ per mole of atoms

=====

No. 4
# YZr4Sb, optimized geometry, DFT PBE
data_YZr4Sb
_chemical_formula_sum 'Y4 Zr16 Sb4'
_symmetry_space_group_name_H-M 'F -4 3 m'
_symmetry_Int_Tables_number 216
_symmetry_space_group_name_Hall 'F -4 2 3'
_cell_length_a 8.4056
_cell_length_b 8.4056
_cell_length_c 8.4056
_cell_angle_alpha 90.00
_cell_angle_beta 90.00
_cell_angle_gamma 90.00
loop_
_atom_site_label
_atom_site_fract_x
_atom_site_fract_y
_atom_site_fract_z
Y1 0.0000 0.0000 0.0000
Zr1 0.1281 0.1281 0.6281
Sb1 0.2500 0.2500 0.2500
# * total magnetic moment: 0.000 Bohr magnetons per cell
# * energy relative to the elements, uncorrected: 11.2 kJ per mole of atoms

=====

No. 5
# YZrSb2, optimized geometry, DFT PBE
data_YZrSb2
_chemical_formula_sum 'Y4 Zr4 Sb8'
_symmetry_space_group_name_H-M 'I -4 2 d'
_symmetry_Int_Tables_number 122
_symmetry_space_group_name_Hall 'I -4 2bw'
_cell_length_a 6.7729
_cell_length_b 6.7729
_cell_length_c 13.3128
_cell_angle_alpha 90.00
_cell_angle_beta 90.00
_cell_angle_gamma 90.00
loop_
_atom_site_label
_atom_site_fract_x
_atom_site_fract_y
_atom_site_fract_z
Y1 0.0000 0.0000 0.0000
Zr1 0.0000 0.0000 0.5000
Sb1 0.2270 0.2500 0.6250
# * total magnetic moment: 0.000 Bohr magnetons per cell
# * energy relative to the elements, uncorrected: -23.2 kJ per mole of atoms

=====

No. 6
# YZr2Sb, optimized geometry, DFT PBE
data_YZr2Sb
_chemical_formula_sum 'Y2 Zr4 Sb2'
_symmetry_space_group_name_H-M 'I m m m'
_symmetry_Int_Tables_number 71
_symmetry_space_group_name_Hall '-I 2 2'
_cell_length_a 4.3498
_cell_length_b 4.5204
_cell_length_c 9.9109
_cell_angle_alpha 90.00
_cell_angle_beta 90.00
_cell_angle_gamma 90.00
loop_
_atom_site_label
_atom_site_fract_x
_atom_site_fract_y
_atom_site_fract_z
Y1 0.0000 0.0000 0.0000
Zr1 0.0000 0.5000 0.2458
Sb1 0.0000 0.0000 0.5000
# * total magnetic moment: 0.000 Bohr magnetons per cell
# * energy relative to the elements, uncorrected: -34.0 kJ per mole of atoms

=====

Q: Among the records above, which one has the highest total magnetic moment?
A: Y2ZrSb

=====

Q: energy relative to the elements, uncorrected of number 3 (YZrSb)?
A: -39.4 kJ per mole of atoms

=====

Q: Among the records above, which one has the highest total magnetic moment?
A: Y2ZrSb